Record 1
DFT (PBE) results for a relaxed structure of Ca2Zn7Rh.

Output
Space group   P-4m2, No. 115
Total energy   -2.300 eV/atom
Total magnetic moment   0.000 μB per formula unit

Unit cell a=4.0082 b=4.0082 c=11.5577 alpha=90.00 beta=90.00 gamma=90.00
Fractional coordinates of all 10 atoms:
Ca1 0.0000 0.5000 0.2482
Ca2 0.5000 0.0000 0.7518
Zn1 0.0000 0.0000 0.0000
Zn2 0.0000 0.5000 0.6398
Zn3 0.0000 0.5000 0.8588
Zn4 0.5000 0.0000 0.1412
Zn5 0.5000 0.0000 0.3602
Zn6 0.5000 0.5000 0.0000
Zn7 0.5000 0.5000 0.5000
Rh1 0.0000 0.0000 0.5000

Record 2
DFT (PBE) results for a relaxed structure of Ca2ZnRh.

Output
Space group   I-4m2, No. 119
Total energy   -3.337 eV/atom
Total magnetic moment   0.000 μB per formula unit

Unit cell a=5.4886 b=5.4886 c=5.4886 alpha=133.41 beta=133.41 gamma=68.01
Fractional coordinates of all 4 atoms:
Ca1 0.0000 0.0000 0.0000
Ca2 0.7500 0.2500 0.5000
Zn1 0.5000 0.5000 0.0000
Rh1 0.2500 0.7500 0.5000

Record 3
DFT (PBE) results for a relaxed structure of CaZn2Rh.

Output
Space group   Cmmm, No. 65
Total energy   -3.068 eV/atom
Total magnetic moment   0.000 μB per formula unit

Unit cell a=4.8099 b=4.8099 c=3.2083 alpha=90.00 beta=90.00 gamma=109.38
Fractional coordinates of all 4 atoms:
Ca1 0.0000 0.0000 0.0000
Zn1 0.0000 0.5000 0.5000
Zn2 0.5000 0.0000 0.5000
Rh1 0.5000 0.5000 0.0000

Record 4
DFT (PBE) results for a relaxed structure of Ca8ZnRh2.

Output
Space group   Cm, No. 8
Total energy   -3.140 eV/atom
Total magnetic moment   0.000 μB per formula unit

Unit cell a=7.9649 b=7.9649 c=5.8935 alpha=98.28 beta=98.28 gamma=111.66
Fractional coordinates of all 11 atoms:
Ca1 0.0000 0.0000 0.0000
Ca2 0.0459 0.3157 0.6241
Ca3 0.1440 0.6195 0.2095
Ca4 0.3157 0.0459 0.6241
Ca5 0.4451 0.7159 0.7985
Ca6 0.6195 0.1440 0.2095
Ca7 0.7159 0.4451 0.7985
Ca8 0.7564 0.7564 0.4093
Zn1 0.3824 0.3824 0.0951
Rh1 0.0652 0.6940 0.7074
Rh2 0.6940 0.0652 0.7074

Record 5
DFT (PBE) results for a relaxed structure of Ca2ZnRh.

Output
Space group   P2/m, No. 10
Total energy   -3.447 eV/atom
Total magnetic moment   0.000 μB per formula unit

Unit cell a=3.4862 b=3.5503 c=7.2409 alpha=90.00 beta=90.09 gamma=90.00
Fractional coordinates of all 4 atoms:
Ca1 0.0006 0.0000 0.2714
Ca2 0.9994 0.0000 0.7286
Zn1 0.5000 0.5000 0.0000
Rh1 0.5000 0.5000 0.5000

Record 6
DFT (PBE) results for a relaxed structure of CaZn2Rh.

Output
Space group   C2/m, No. 12
Total energy   -3.344 eV/atom
Total magnetic moment   0.000 μB per formula unit

Unit cell a=4.2892 b=4.2892 c=5.6421 alpha=112.51 beta=112.51 gamma=60.13
Fractional coordinates of all 4 atoms:
Ca1 0.0000 0.0000 0.0000
Zn1 0.2051 0.2051 0.6152
Zn2 0.7949 0.7949 0.3848
Rh1 0.5000 0.5000 0.5000

Record 7
DFT (PBE) results for a relaxed structure of Ca3Zn3Rh.

Output
Space group   C2/m, No. 12
Total energy   -2.806 eV/atom
Total magnetic moment   0.000 μB per formula unit

Unit cell a=5.8486 b=5.8486 c=15.2856 alpha=105.61 beta=105.61 gamma=41.78
Fractional coordinates of all 14 atoms:
Ca1 0.0226 0.0226 0.3879
Ca2 0.1122 0.1122 0.9217
Ca3 0.2503 0.2503 0.2432
Ca4 0.7497 0.7497 0.7568
Ca5 0.8878 0.8878 0.0783
Ca6 0.9774 0.9774 0.6121
Zn1 0.3277 0.3277 0.4638
Zn2 0.4009 0.4009 0.9226
Zn3 0.4597 0.4597 0.7678
Zn4 0.5403 0.5403 0.2322
Zn5 0.5991 0.5991 0.0774
Zn6 0.6723 0.6723 0.5362
Rh1 0.2771 0.2771 0.6216
Rh2 0.7229 0.7229 0.3784

Record 8
DFT (PBE) results for a relaxed structure of Ca8Zn2Rh.

Output
Space group   Immm, No. 71
Total energy   -2.418 eV/atom
Offset from the most stable computed form   0.102 eV/atom
Total magnetic moment   0.000 μB per formula unit

Unit cell a=9.0275 b=9.0275 c=9.0275 alpha=148.21 beta=119.83 gamma=69.67
Fractional coordinates of all 11 atoms:
Ca1 0.1152 0.3392 0.7760
Ca2 0.1218 0.1218 0.0000
Ca3 0.3200 0.0000 0.3200
Ca4 0.4368 0.6608 0.7760
Ca5 0.5632 0.3392 0.2240
Ca6 0.6800 0.0000 0.6800
Ca7 0.8782 0.8782 0.0000
Ca8 0.8848 0.6608 0.2240
Zn1 0.3084 0.8084 0.5000
Zn2 0.6916 0.1916 0.5000
Rh1 0.0000 0.5000 0.5000

Record 9
DFT (PBE) results for a relaxed structure of Ca2ZnRh.

Output
Space group   R-3m, No. 166
Total energy   -3.210 eV/atom
Total magnetic moment   0.000 μB per formula unit

Unit cell a=8.9523 b=8.9523 c=8.9523 alpha=23.23 beta=23.23 gamma=23.23
Fractional coordinates of all 4 atoms:
Ca1 0.2409 0.2409 0.2409
Ca2 0.7591 0.7591 0.7591
Zn1 0.0000 0.0000 0.0000
Rh1 0.5000 0.5000 0.5000

Record 10
DFT (PBE) results for a relaxed structure of CaZn4Rh2.

Output
Space group   P4_2/mnm, No. 136
Total energy   -3.478 eV/atom
Total magnetic moment   0.000 μB per formula unit

Unit cell a=7.6415 b=7.6415 c=4.1046 alpha=90.00 beta=90.00 gamma=90.00
Fractional coordinates of all 14 atoms:
Ca1 0.0000 0.0000 0.0000
Ca2 0.5000 0.5000 0.5000
Zn1 0.0917 0.3483 0.5000
Zn2 0.1517 0.5917 0.0000
Zn3 0.3483 0.0917 0.5000
Zn4 0.4083 0.8483 0.0000
Zn5 0.5917 0.1517 0.0000
Zn6 0.6517 0.9083 0.5000
Zn7 0.8483 0.4083 0.0000
Zn8 0.9083 0.6517 0.5000
Rh1 0.2210 0.7790 0.5000
Rh2 0.2790 0.2790 0.0000
Rh3 0.7210 0.7210 0.0000
Rh4 0.7790 0.2210 0.5000

Record 11
DFT (PBE) results for a relaxed structure of Ca2Zn6Rh.

Output
Space group   P-3m1, No. 164
Total energy   -2.438 eV/atom
Total magnetic moment   0.000 μB per formula unit

Unit cell a=5.7355 b=5.7355 c=5.8484 alpha=90.00 beta=90.00 gamma=120.00
Fractional coordinates of all 9 atoms:
Ca1 0.3333 0.6667 0.1448
Ca2 0.6667 0.3333 0.8552
Zn1 0.1751 0.3503 0.6699
Zn2 0.1751 0.8249 0.6699
Zn3 0.3503 0.1751 0.3301
Zn4 0.6497 0.8249 0.6699
Zn5 0.8249 0.1751 0.3301
Zn6 0.8249 0.6497 0.3301
Rh1 0.0000 0.0000 0.0000

Record 12
DFT (PBE) results for a relaxed structure of Ca2Zn15Rh2.

Output
Space group   R-3m, No. 166
Total energy   -2.224 eV/atom
Total magnetic moment   0.000 μB per formula unit

Unit cell a=6.8090 b=6.8090 c=6.8090 alpha=83.23 beta=83.23 gamma=83.23
Fractional coordinates of all 19 atoms:
Ca1 0.1645 0.1645 0.1645
Ca2 0.8355 0.8355 0.8355
Zn1 0.0000 0.5000 0.5000
Zn2 0.1511 0.1511 0.6484
Zn3 0.1511 0.6484 0.1511
Zn4 0.2163 0.5000 0.7837
Zn5 0.2163 0.7837 0.5000
Zn6 0.3516 0.8489 0.8489
Zn7 0.5000 0.0000 0.5000
Zn8 0.5000 0.2163 0.7837
Zn9 0.5000 0.5000 0.0000
Zn10 0.5000 0.7837 0.2163
Zn11 0.6484 0.1511 0.1511
Zn12 0.7837 0.2163 0.5000
Zn13 0.7837 0.5000 0.2163
Zn14 0.8489 0.3516 0.8489
Zn15 0.8489 0.8489 0.3516
Rh1 0.3923 0.3923 0.3923
Rh2 0.6077 0.6077 0.6077

ΔE_f? In order: -6.29; -4.14; -2.14; -5.34; -6.69; -8.50; -8.12; -1.45; -1.21; -8.39; -7.54; -5.40 kcal/mol of atoms.